An optimized crystal structure of KNbCo, computed with PBE.

Results
V (Å³/cell): 256
Final energy (eV per cell): -53.72

```
data_KNbCo
_cell_length_a 6.3490
_cell_length_b 6.3490
_cell_length_c 6.3490
_cell_angle_alpha 90.00
_cell_angle_beta 90.00
_cell_angle_gamma 90.00
_symmetry_space_group_name_H-M 'F -4 3 m'
_symmetry_Int_Tables_number 216
_symmetry_space_group_name_Hall 'F -4 2 3'
loop_
_atom_site_label
_atom_site_type_symbol
_atom_site_fract_x
_atom_site_fract_y
_atom_site_fract_z
_atom_site_occupancy
K1 K 0.0000 0.0000 0.0000 1
Nb1 Nb 0.0000 0.0000 0.5000 1
Co1 Co 0.2500 0.2500 0.2500 1
```